Record 1
# In2Pb

In2Pb after structural relaxation (PBEsol, Alexandria via LeMat-Bulk).

Unit cell a=6.1377 b=6.1377 c=6.1377 alpha=60.00 beta=60.00 gamma=60.00
Closest atoms and distances in Å follow each position.
Element x y z (fractional)
1 In 0.1250 0.1250 0.1250  6 In 3.07
2 In 0.1250 0.1250 0.6250  6 In 3.07
3 In 0.1250 0.6250 0.1250  6 In 3.07
4 In 0.6250 0.1250 0.1250  6 In 3.07
5 Pb 0.5000 0.5000 0.5000  12 In 3.60, 4 Pb 3.76
6 Pb 0.7500 0.7500 0.7500  12 In 3.60, 4 Pb 3.76

Computed properties:
As for the distance to the lowest polymorph of the same formula: 53 meV/atom. The space group is Fd-3m (227).



Record 2
# In2Pb

In2Pb after structural relaxation (PBEsol, Alexandria via LeMat-Bulk).

Unit cell a=3.3124 b=9.2417 c=9.2417 alpha=120.00 beta=90.00 gamma=90.00
Closest atoms and distances in Å follow each position.
Element x y z (fractional)
1 In 0.0000 0.6895 0.6895  4 Pb 3.19-3.31, 8 In 3.31-3.53
2 In 0.0000 0.0000 0.3105  4 Pb 3.19-3.31, 8 In 3.31-3.53
3 In 0.0000 0.3105 0.0000  4 Pb 3.19-3.31, 8 In 3.31-3.53
4 In 0.5000 0.3586 0.3586  8 In 3.31-3.53, 5 Pb 3.31-3.40
5 In 0.5000 0.0000 0.6414  8 In 3.31-3.53, 5 Pb 3.31-3.40
6 In 0.5000 0.6414 0.0000  8 In 3.31-3.53, 5 Pb 3.31-3.40
7 Pb 0.0000 0.6667 0.3333  9 In 3.19-3.40, 2 Pb 3.31
8 Pb 0.0000 0.3333 0.6667  9 In 3.19-3.40, 2 Pb 3.31
9 Pb 0.5000 0.0000 0.0000  2 Pb 3.31, 9 In 3.31

Computed properties:
As for the distance to the lowest polymorph of the same formula: 18 meV/atom. The space group is P-62m (189).



Record 3
# InPb

InPb after structural relaxation (PBEsol, Alexandria via LeMat-Bulk).

Unit cell a=4.3582 b=4.3582 c=4.3582 alpha=60.00 beta=60.00 gamma=60.00
Closest atoms and distances in Å follow each position.
Element x y z (fractional)
1 In 0.0000 0.0000 0.0000  6 Pb 3.08
2 Pb 0.5000 0.5000 0.5000  6 In 3.08

Computed properties:
The space group is Fm-3m (225).



Per-record total moment, μB/f.u.: 0.0 0.0 0.0
Per-record DOS at the Fermi energy, states/eV per atom: 0.395 0.467 0.679
Per-record formation energy, meV/atom: 63 28 147